# ZrSiSbI2

A relaxed structure of ZrSiSbI2 (GGA-PBEsol, Alexandria via LeMat-Bulk).

Unit cell a=5.467 b=5.467 c=5.732 alpha=90.00 beta=90.00 gamma=90.00
Sites, in units of the cell vectors:
Zr1 0.000 0.000 0.000
Si1 0.500 0.500 0.500
Sb1 0.000 0.000 0.500
I1 0.000 0.500 0.000
I2 0.500 0.000 0.000

Computed properties:
- Formation energy from raw total energies: 2.26 eV/f.u.
- Magnetization: 0.8 μB per formula unit
- Density: 4.8 g/cm3
- DOS at the Fermi energy: 3.80 states/eV/cell